(1)
VASP calculation (PBE) on a geometry-optimized PrCu3Sn3 structure.

abc: 7.0819 7.0819 7.0819
angles: 90.00 90.00 90.00
Fractional positions:
Pr 0.0000 0.0000 0.0000
Pr 0.5000 0.5000 0.5000
Cu 0.0000 0.2500 0.5000
Cu 0.0000 0.7500 0.5000
Cu 0.2500 0.5000 0.0000
Cu 0.5000 0.0000 0.2500
Cu 0.5000 0.0000 0.7500
Cu 0.7500 0.5000 0.0000
Sn 0.0000 0.5000 0.2500
Sn 0.0000 0.5000 0.7500
Sn 0.2500 0.0000 0.5000
Sn 0.5000 0.2500 0.0000
Sn 0.5000 0.7500 0.0000
Sn 0.7500 0.0000 0.5000

Values from the calculation:
Space group   Pm-3n (223)
Energy relative to the elements   92 kJ/mol of formula units
Distance to the lowest polymorph of the same formula   1.59 eV/f.u.

(2)
VASP calculation (PBE) on a geometry-optimized Pr3CuSn3 structure.

abc: 6.2649 6.2649 15.3474
angles: 108.50 108.50 43.43
Fractional positions:
Pr 0.0316 0.0316 0.3850
Pr 0.0969 0.0969 0.9201
Pr 0.2436 0.2436 0.2305
Pr 0.7564 0.7564 0.7695
Pr 0.9031 0.9031 0.0799
Pr 0.9684 0.9684 0.6150
Cu 0.2645 0.2645 0.6059
Cu 0.7355 0.7355 0.3941
Sn 0.3522 0.3522 0.4551
Sn 0.3734 0.3734 0.9239
Sn 0.4664 0.4664 0.7621
Sn 0.5336 0.5336 0.2379
Sn 0.6266 0.6266 0.0761
Sn 0.6478 0.6478 0.5449

Values from the calculation:
Space group   C2/m (12)
Energy relative to the elements   -458 kJ/mol of formula units